This record from Alexandria describes crystalline ZnCrO3 at its relaxed geometry. The functional is GGA+U.

Cell: 3.7794 3.7794 3.7794 Å, 90.00 90.00 90.00°
Last column: nearest neighbours and their distance in Å.
Space group Pm-3m (No. 221)
One atom of each set of equivalent atoms:
Zn: 0.0000 0.0000 0.0000  6 O 1.89
Cr: 0.5000 0.5000 0.5000  12 O 2.67
O: 0.0000 0.0000 0.5000  2 Zn 1.89

Calculated values
- Calculated volume: 54 Å³ per cell
- Electronic total energy: -25.4 eV per cell